The following is a PBE calculation of PrCuSn2 after structural relaxation, from the Alexandria database.

Properties
energy relative to the elements	-0.36	eV per atom
crystal system	tetragonal
volume	96	Å³/f.u.
calculated total energy	-4.579	eV per atom
space group	No. 123

Lattice parameters (Å, degrees): 4.6092 4.6092 4.5269 90.00 90.00 90.00
Closest atoms and distances in Å follow each position.
Sites, in units of the cell vectors:
1 Pr 0.0000 0.0000 0.0000  8 Sn 3.23, 4 Cu 3.26
2 Cu 0.5000 0.5000 0.0000  8 Sn 3.23, 4 Pr 3.26
3 Sn 0.0000 0.5000 0.5000  4 Cu 3.23, 4 Pr 3.23, 4 Sn 3.26
4 Sn 0.5000 0.0000 0.5000  4 Cu 3.23, 4 Pr 3.23, 4 Sn 3.26